Entry 1:
The following is a PBE calculation of a relaxed structure of TaInFeMo, from OQMD.

Cell: 4.5123 4.5123 4.5123 Å, 60.00 60.00 60.00°
Closest atoms and distances in Å follow each position.
Element x y z (fractional)
Fe 0.7500 0.7500 0.7500  4 In 2.76, 4 Ta 2.76
In 0.0000 0.0000 0.0000  4 Mo 2.76, 4 Fe 2.76
Ta 0.5000 0.5000 0.5000  4 Mo 2.76, 4 Fe 2.76
Mo 0.2500 0.2500 0.2500  4 Ta 2.76, 4 In 2.76

Output
As for the total energy: -8.206 eV/atom.


Entry 2:
The following is a PBE calculation of a relaxed structure of Sr2FeW, from OQMD.

Cell: 4.9868 4.9868 4.9868 Å, 60.00 60.00 60.00°
Closest atoms and distances in Å follow each position.
Element x y z (fractional)
W 0.5000 0.5000 0.5000  4 Sr 3.05, 4 Fe 3.05
Sr 0.0000 0.0000 0.0000  4 Fe 3.05, 4 Sr 3.05
Sr 0.7500 0.7500 0.7500  4 W 3.05, 4 Sr 3.05
Fe 0.2500 0.2500 0.2500  4 Sr 3.05, 4 W 3.05

Output
As for the total energy: -4.766 eV/atom.


Entry 3:
The following is a PBE calculation of a relaxed structure of AcPmGd, from OQMD.

Cell: 5.6922 5.6922 5.6922 Å, 60.00 60.00 60.00°
Closest atoms and distances in Å follow each position.
Element x y z (fractional)
Gd 0.2500 0.2500 0.2500  4 Ac 3.49
Pm 0.7500 0.7500 0.7500  4 Ac 3.49
Ac 0.0000 0.0000 0.0000  4 Gd 3.49, 4 Pm 3.49

Output
As for the total energy: -3.713 eV/atom. As for the formation enthalpy at 0 K: 0.79 eV per atom.


Entry 4:
The following is a PBE calculation of a relaxed structure of SmInNi, from OQMD.

Cell: 6.9666 6.9666 4.6331 Å, 90.00 90.00 120.00°
Closest atoms and distances in Å follow each position.
Element x y z (fractional)
Ni 0.0000 0.2198 0.0000  2 Ni 2.65, 4 In 2.78-2.80
Ni 0.7802 0.7802 0.0000  2 Ni 2.65, 4 In 2.78-2.80
Ni 0.2198 0.0000 0.0000  2 Ni 2.65, 4 In 2.78-2.80
Sm 0.4482 0.4482 0.5000  5 In 3.09-3.12, 2 Ni 3.27
Sm 0.5518 0.0000 0.5000  5 In 3.09-3.12, 2 Ni 3.27
Sm 0.0000 0.5518 0.5000  5 In 3.09-3.12, 2 Ni 3.27
In 0.0000 0.0000 0.5000  6 Ni 2.78
In 0.3333 0.6667 0.0000  3 Ni 2.80, 6 Sm 3.09
In 0.6667 0.3333 0.0000  3 Ni 2.80, 6 Sm 3.09

Output
As for the total energy: -4.581 eV/atom.


Entry 5:
The following is a PBE calculation of a relaxed structure of PuHg2Bi, from OQMD.

Cell: 4.5688 4.5688 5.1281 Å, 90.00 90.00 90.00°
Closest atoms and distances in Å follow each position.
Element x y z (fractional)
Hg 0.0000 0.5000 0.0000  4 Hg 3.23, 4 Pu 3.43, 4 Bi 3.43
Hg 0.5000 0.0000 0.0000  4 Hg 3.23, 4 Pu 3.43, 4 Bi 3.43
Pu 0.5000 0.5000 0.5000  4 Bi 3.23, 8 Hg 3.43
Bi 0.0000 0.0000 0.5000  4 Pu 3.23, 8 Hg 3.43

Output
As for the total energy: -4.969 eV/atom.


Entry 6:
The following is a PBE calculation of a relaxed structure of BeReOsAu, from OQMD.

Cell: 4.3014 4.3014 4.3014 Å, 60.00 60.00 60.00°
Closest atoms and distances in Å follow each position.
Element x y z (fractional)
Re 0.5000 0.5000 0.5000  4 Au 2.63, 4 Be 2.63
Os 0.0000 0.0000 0.0000  4 Be 2.63, 4 Au 2.63
Au 0.2500 0.2500 0.2500  4 Re 2.63, 4 Os 2.63
Be 0.7500 0.7500 0.7500  4 Os 2.63, 4 Re 2.63

Output
As for the total energy: -7.000 eV/atom.


Entry 7:
The following is a PBE calculation of a relaxed structure of CdAu17, from OQMD.

Cell: 5.8283 5.8283 35.0969 Å, 90.00 90.00 120.00°
Closest atoms and distances in Å follow each position.
Element x y z (fractional)
Au 0.3333 0.6667 0.3616  12 Au 2.91-2.97
Au 0.5005 0.0010 0.2917  11 Au 2.91-3.00, 1 Cd 3.16
Au 0.0000 0.5000 0.5000  12 Au 2.91-2.96
Au 0.8335 0.6669 0.5693  12 Au 2.91-2.97
Au 0.8335 0.1665 0.5693  12 Au 2.91-2.97
Au 0.0000 0.0000 0.7082  12 Au 2.91-3.00
Au 0.6667 0.8333 0.2210  7 Au 2.91-3.00, 2 Cd 2.92
Au 0.0000 0.0000 0.5000  12 Au 2.91-2.96
Au 0.6668 0.8334 0.6389  12 Au 2.91-2.97
Au 0.8333 0.1667 0.7790  7 Au 2.91-3.00, 2 Cd 2.92
Au 0.6669 0.8335 0.4307  12 Au 2.91-2.97
Au 0.3331 0.1665 0.5693  12 Au 2.91-2.97
Au 0.1666 0.3332 0.6389  12 Au 2.91-2.97
Au 0.5005 0.4995 0.2917  11 Au 2.91-3.00, 1 Cd 3.16
Au 0.8333 0.6667 0.7790  7 Au 2.91-3.00, 2 Cd 2.92
Au 0.3332 0.1666 0.3611  12 Au 2.91-2.97
Au 0.8334 0.1666 0.3611  12 Au 2.91-2.97
Au 0.3333 0.1667 0.7790  7 Au 2.91-3.00, 2 Cd 2.92
Au 0.5000 0.5000 0.5000  12 Au 2.91-2.96
Au 0.4995 0.5005 0.7083  11 Au 2.91-3.00, 1 Cd 3.16
Au 0.0000 0.0000 0.2918  12 Au 2.91-3.00
Au 0.6667 0.3333 0.6384  12 Au 2.91-2.97
Au 0.1665 0.8335 0.4307  12 Au 2.91-2.97
Au 0.6667 0.3333 0.4305  12 Au 2.91-2.96
Au 0.3333 0.6667 0.5695  12 Au 2.91-2.96
Au 0.1665 0.3331 0.4307  12 Au 2.91-2.97
Au 0.9990 0.4995 0.2917  11 Au 2.91-3.00, 1 Cd 3.16
Au 0.1667 0.8333 0.2210  7 Au 2.91-3.00, 2 Cd 2.92
Au 0.8334 0.6668 0.3611  12 Au 2.91-2.97
Au 0.1667 0.3333 0.2210  7 Au 2.91-3.00, 2 Cd 2.92
Au 0.1666 0.8334 0.6389  12 Au 2.91-2.97
Au 0.5000 0.0000 0.5000  12 Au 2.91-2.96
Au 0.4995 0.9990 0.7083  11 Au 2.91-3.00, 1 Cd 3.16
Au 0.0010 0.5005 0.7083  11 Au 2.91-3.00, 1 Cd 3.16
Cd 0.3333 0.6667 0.7846  9 Au 2.92-3.16
Cd 0.6667 0.3333 0.2154  9 Au 2.92-3.16

Output
As for the total energy: -3.105 eV/atom. As for the formation enthalpy at 0 K: 0.03 eV per atom.


Entry 8:
The following is a PBE calculation of a relaxed structure of LaTbSn, from OQMD.

Cell: 5.2817 5.2817 5.2817 Å, 60.00 60.00 60.00°
Closest atoms and distances in Å follow each position.
Element x y z (fractional)
Tb 0.7500 0.7500 0.7500  4 Sn 3.23
Sn 0.0000 0.0000 0.0000  4 Tb 3.23, 4 La 3.23
La 0.2500 0.2500 0.2500  4 Sn 3.23

Output
As for the total energy: -4.952 eV/atom.


Entry 9:
The following is a PBE calculation of a relaxed structure of HfAlNiAu, from OQMD.

Cell: 4.2717 4.2717 8.3705 Å, 90.00 90.00 120.00°
Closest atoms and distances in Å follow each position.
Element x y z (fractional)
Hf 0.3333 0.6667 0.2734  4 Ni 2.53-2.77
Hf 0.6667 0.3333 0.7266  4 Ni 2.53-2.77
Ni 0.6667 0.3333 0.4238  4 Hf 2.53-2.77, 3 Al 2.55, 1 Au 2.69, 3 Ni 2.78
Ni 0.3333 0.6667 0.5762  4 Hf 2.53-2.77, 3 Al 2.55, 1 Au 2.69, 3 Ni 2.78
Au 0.6667 0.3333 0.1019  3 Al 2.61, 1 Ni 2.69, 3 Hf 2.85
Au 0.3333 0.6667 0.8981  3 Al 2.61, 1 Ni 2.69, 3 Hf 2.85
Al 0.0000 0.0000 0.0000  6 Au 2.61
Al 0.0000 0.0000 0.5000  6 Ni 2.55

Output
As for the total energy: -6.221 eV/atom.


Entry 10:
The following is a PBE calculation of a relaxed structure of PmInAg, from OQMD.

Cell: 4.8626 4.8626 4.8626 Å, 60.00 60.00 60.00°
Closest atoms and distances in Å follow each position.
Element x y z (fractional)
Ag 0.0000 0.0000 0.0000  4 Pm 2.98, 4 In 2.98
In 0.2500 0.2500 0.2500  4 Ag 2.98
Pm 0.7500 0.7500 0.7500  4 Ag 2.98

Output
As for the total energy: -3.743 eV/atom.


Entry 11:
The following is a PBE calculation of a relaxed structure of BiPt2O4, from OQMD.

Cell: 6.6020 6.6020 6.6020 Å, 120.01 89.99 120.01°
Closest atoms and distances in Å follow each position.
Element x y z (fractional)
O 0.6027 0.7947 0.3974  3 Pt 2.15, 1 Bi 2.38
O 0.1920 0.7947 0.3973  3 Pt 2.15, 1 Bi 2.38
O 0.6026 0.2053 0.3973  3 Pt 2.15, 1 Bi 2.38
O 0.1473 0.7053 0.8526  3 Pt 2.15, 1 Bi 2.38
O 0.6027 0.2053 0.8080  3 Pt 2.15, 1 Bi 2.38
O 0.1473 0.2947 0.4420  3 Pt 2.15, 1 Bi 2.38
O 0.1474 0.2947 0.8527  3 Pt 2.15, 1 Bi 2.38
O 0.5580 0.7053 0.8527  3 Pt 2.15, 1 Bi 2.38
Pt 0.3750 0.2500 0.6250  6 O 2.15
Pt 0.3750 0.7500 0.6250  6 O 2.15
Pt 0.3750 0.7500 0.1250  6 O 2.15
Pt 0.8750 0.2500 0.6250  6 O 2.15
Bi 0.7500 0.5000 0.2500  4 O 2.38
Bi 0.0000 0.0000 0.0000  4 O 2.38

Output
As for the total energy: -5.461 eV/atom.


Entry 12:
The following is a PBE calculation of a relaxed structure of Rb2PdIF3, from OQMD.

Cell: 3.8633 6.5105 6.5105 Å, 107.00 90.00 90.00°
Closest atoms and distances in Å follow each position.
Element x y z (fractional)
F 0.0000 0.7400 0.7400  1 Pd 2.07
F 0.0000 0.1871 0.8053  1 Pd 2.00
F 0.0000 0.8053 0.1871  1 Pd 2.00
Pd 0.0000 0.0078 0.0078  3 F 2.00-2.07
I 0.0000 0.3379 0.3379  1 Pd 2.56
Rb 0.5000 0.9105 0.5112  6 F 2.79-2.94
Rb 0.5000 0.5112 0.9105  6 F 2.79-2.94

Output
As for the total energy: -3.874 eV/atom.


Entry 13:
The following is a PBE calculation of a relaxed structure of HfZn2Hg, from OQMD.

Cell: 4.6837 4.6837 4.6837 Å, 60.00 60.00 60.00°
Closest atoms and distances in Å follow each position.
Element x y z (fractional)
Zn 0.2500 0.2500 0.2500  4 Hg 2.87, 4 Zn 2.87
Zn 0.0000 0.0000 0.0000  4 Hf 2.87, 4 Zn 2.87
Hf 0.7500 0.7500 0.7500  4 Hg 2.87, 4 Zn 2.87
Hg 0.5000 0.5000 0.5000  4 Hf 2.87, 4 Zn 2.87

Output
As for the total energy: -3.139 eV/atom. As for the formation enthalpy at 0 K: 0.06 eV per atom.


Entry 14:
The following is a PBE calculation of a relaxed structure of LiHfB4, from OQMD.

Cell: 3.1068 3.1068 6.9405 Å, 90.00 90.00 120.00°
Closest atoms and distances in Å follow each position.
Element x y z (fractional)
B 0.3333 0.6667 0.2451  3 B 1.79
B 0.6667 0.3333 0.2451  3 B 1.79
B 0.3333 0.6667 0.7549  3 B 1.79
B 0.6667 0.3333 0.7549  3 B 1.79
Hf 0.0000 0.0000 0.0000  12 B 2.47
Li 0.0000 0.0000 0.5000  12 B 2.52

Output
As for the total energy: -6.903 eV/atom.


Entry 15:
The following is a PBE calculation of a relaxed structure of Dy2Sc2BBr5, from OQMD.

Cell: 9.1157 9.1157 8.1696 Å, 102.42 102.42 24.08°
Closest atoms and distances in Å follow each position.
Element x y z (fractional)
Br 0.1693 0.1693 0.8483  2 Sc 2.78, 1 Dy 2.94
Br 0.1656 0.1656 0.3176  2 Sc 2.75, 1 Dy 2.90
Br 0.5000 0.5000 0.5000  4 Dy 3.04
Br 0.8307 0.8307 0.1517  2 Sc 2.78, 1 Dy 2.94
Br 0.8344 0.8344 0.6824  2 Sc 2.75, 1 Dy 2.90
Dy 0.0005 0.0005 0.7909  2 B 2.56
Dy 0.9995 0.9995 0.2091  2 B 2.56
Sc 0.6338 0.6338 0.0683  1 B 2.33
Sc 0.3662 0.3662 0.9317  1 B 2.33
B 0.5000 0.5000 0.0000  2 Sc 2.33, 4 Dy 2.56

Output
As for the total energy: -5.072 eV/atom.


Entry 16:
The following is a PBE calculation of a relaxed structure of HfSc2Te, from OQMD.

Cell: 4.9891 4.9891 4.9891 Å, 60.00 60.00 60.00°
Closest atoms and distances in Å follow each position.
Element x y z (fractional)
Sc 0.7500 0.7500 0.7500  4 Sc 3.06, 4 Te 3.06
Sc 0.0000 0.0000 0.0000  4 Hf 3.06, 4 Sc 3.06
Te 0.5000 0.5000 0.5000  4 Hf 3.06, 4 Sc 3.06
Hf 0.2500 0.2500 0.2500  4 Te 3.06, 4 Sc 3.06

Output
As for the total energy: -6.459 eV/atom.


Entry 17:
The following is a PBE calculation of a relaxed structure of NdGeHO4, from OQMD.

Cell: 5.3778 6.5352 4.6465 Å, 90.00 98.17 90.00°
Closest atoms and distances in Å follow each position.
Element x y z (fractional)
Ge 0.3043 0.7500 0.4478  4 O 1.73-1.81
Ge 0.6957 0.2500 0.5522  4 O 1.73-1.81
O 0.9024 0.0491 0.7090  1 H 1.21
O 0.3855 0.2500 0.6133  1 Ge 1.73
O 0.3260 0.7500 0.8286  1 Ge 1.76
O 0.6145 0.7500 0.3867  1 Ge 1.73
O 0.0976 0.9509 0.2910  1 H 1.21
O 0.0976 0.5491 0.2910  1 H 1.21
O 0.6740 0.2500 0.1714  1 Ge 1.76
O 0.9024 0.4509 0.7090  1 H 1.21
H 0.0000 0.0000 0.5000  2 O 1.21
H 0.0000 0.5000 0.5000  2 O 1.21
Nd 0.2184 0.2500 0.0498  6 O 2.33-2.52
Nd 0.7816 0.7500 0.9502  6 O 2.33-2.52

Output
As for the total energy: -6.789 eV/atom.


Entry 18:
The following is a PBE calculation of a relaxed structure of Tb2YIn3Ir2Au, from OQMD.

Cell: 3.9095 7.6716 7.6716 Å, 120.19 90.00 90.00°
Closest atoms and distances in Å follow each position.
Element x y z (fractional)
Ir 0.5000 0.3320 0.6672  3 In 2.84, 4 Tb 3.03, 2 Y 3.05
Ir 0.5000 0.6672 0.3320  3 In 2.84, 4 Tb 3.03, 2 Y 3.05
Y 0.0000 0.5919 0.5919  4 Ir 3.05, 1 Au 3.12, 6 In 3.15-3.37
In 0.5000 0.2685 0.2685  2 Au 2.83, 2 Ir 2.84, 2 Y 3.15
In 0.5000 0.9993 0.7322  2 Au 2.83, 2 Ir 2.84, 2 Tb 3.16
In 0.5000 0.7322 0.9993  2 Au 2.83, 2 Ir 2.84, 2 Tb 3.16
Au 0.0000 0.0004 0.0004  6 In 2.83, 1 Y 3.12, 2 Tb 3.14
Tb 0.0000 0.9998 0.4088  4 Ir 3.03, 1 Au 3.14, 6 In 3.16-3.39
Tb 0.0000 0.4088 0.9998  4 Ir 3.03, 1 Au 3.14, 6 In 3.16-3.39

Output
As for the total energy: -5.694 eV/atom.


Entry 19:
The following is a PBE calculation of a relaxed structure of RbHoSn, from OQMD.

Cell: 5.3709 5.3709 5.3709 Å, 60.00 60.00 60.00°
Closest atoms and distances in Å follow each position.
Element x y z (fractional)
Ho 0.0000 0.0000 0.0000  4 Rb 3.29, 4 Sn 3.29
Sn 0.7500 0.7500 0.7500  4 Ho 3.29
Rb 0.2500 0.2500 0.2500  4 Ho 3.29

Output
As for the total energy: -2.990 eV/atom.


Entry 20:
The following is a PBE calculation of a relaxed structure of NaFeAgSe3, from OQMD.

Cell: 10.3283 7.1218 7.1218 Å, 29.06 90.00 90.00°
Closest atoms and distances in Å follow each position.
Element x y z (fractional)
Se 0.5000 0.0715 0.0715  2 Ag 2.67, 2 Fe 2.76, 2 Na 2.99
Se 0.7642 0.6254 0.6254  2 Fe 2.49, 1 Ag 2.54
Se 0.2642 0.3746 0.3746  2 Fe 2.49, 1 Ag 2.54
Se 0.7358 0.3746 0.3746  2 Fe 2.49, 1 Ag 2.54
Se 0.0000 0.9285 0.9285  2 Ag 2.67, 2 Fe 2.76, 2 Na 2.99
Se 0.2358 0.6254 0.6254  2 Fe 2.49, 1 Ag 2.54
Na 0.5000 0.7451 0.7451  4 Se 2.99-3.19, 2 Ag 3.08
Na 0.0000 0.2549 0.2549  4 Se 2.99-3.19, 2 Ag 3.08
Ag 0.0000 0.5727 0.5727  4 Se 2.54-2.67
Ag 0.5000 0.4273 0.4273  4 Se 2.54-2.67
Fe 0.7500 0.0000 0.0000  6 Se 2.49-2.76
Fe 0.2500 0.0000 0.0000  6 Se 2.49-2.76

Output
As for the total energy: -4.069 eV/atom.